Li3Mn2C4O12 (PBE+U, relaxed); raw total energy = -7.196 eV/atom; size of the total moment = 9.00 μB per formula unit; ρ = 2.343 g/cm3; calculated volume = 12.51 Å³/atom
1.0
5.384 -0.020 -0.039
-2.621 -5.887 -0.011
-2.512 0.157 -8.258
Li Mn C O
3 2 4 12
Cartesian
1.925 -0.282 -2.684
-3.320 -5.468 -5.603
-2.000 -2.684 -7.071
0.856 -2.813 -3.967
2.033 -5.891 -0.082
0.131 -2.297 -1.724
1.878 -5.175 -2.593
1.920 -0.652 -5.777
0.445 -3.498 -6.589
-0.180 -2.031 -0.524
0.834 -5.380 -1.840
-0.711 -2.572 -2.667
1.398 -2.287 -2.130
-2.350 -5.429 -2.074
1.727 -4.699 -3.808
1.762 -1.057 -4.543
3.103 -0.631 -6.316
-0.243 -3.082 -5.533
1.712 -3.656 -6.482
0.912 -0.272 -6.488
-0.259 -3.730 -7.637